No. 1
VASP calculation (PBE) on a relaxed structure of AcMgAg.

a = 5.1628 Å, b = 5.1628 Å, c = 5.1628 Å
α = 60.00°, β = 60.00°, γ = 60.00°
Fractional coordinates of all 3 atoms:
Ac  0.0000  0.0000  0.0000
Mg  0.5000  0.5000  0.5000
Ag  0.2500  0.2500  0.2500

**SG**: F-43m (216)
**Formation energy**: -79 meV per atom
**N(E_F)**: 3.477 states/eV/cell

---

No. 2
VASP calculation (PBE) on a relaxed structure of Rb3CeDy3Se8.

a = 8.4175 Å, b = 8.4175 Å, c = 9.4814 Å
α = 116.36°, β = 116.36°, γ = 59.99°
Fractional coordinates of all 15 atoms:
Rb  0.0000  0.0000  0.0000
Rb  0.0000  0.5000  0.0000
Rb  0.5000  0.0000  0.0000
Ce  0.0000  0.0000  0.5000
Dy  0.0000  0.5000  0.5000
Dy  0.5000  0.0000  0.5000
Dy  0.5000  0.5000  0.5000
Se  0.2305  0.2305  0.6917
Se  0.2309  0.7310  0.6916
Se  0.2680  0.2680  0.3058
Se  0.2690  0.7691  0.3084
Se  0.7310  0.2309  0.6916
Se  0.7320  0.7320  0.6942
Se  0.7691  0.2690  0.3084
Se  0.7695  0.7695  0.3083

**Energy relative to the elements, uncorrected**: -1.729 eV per atom
**SG**: C2/m (12)

---

No. 3
VASP calculation (PBE) on a relaxed structure of Sm2ThHg4.

a = 9.5602 Å, b = 9.5602 Å, c = 9.5602 Å
α = 31.22°, β = 31.22°, γ = 31.22°
Fractional coordinates of all 7 atoms:
Sm  0.2427  0.2427  0.2427
Sm  0.7573  0.7573  0.7573
Th  0.0000  0.0000  0.0000
Hg  0.1284  0.1284  0.1284
Hg  0.3794  0.3794  0.3794
Hg  0.6206  0.6206  0.6206
Hg  0.8716  0.8716  0.8716

**SG**: R-3m (166)
**Formation energy**: -249 meV per atom
**N(E_F)**: 7.228 states/eV/cell

---

No. 4
VASP calculation (PBE) on a relaxed structure of Re2SeCl.

a = 4.5209 Å, b = 4.5209 Å, c = 4.5209 Å
α = 60.00°, β = 60.00°, γ = 60.00°
Fractional coordinates of all 4 atoms:
Re  0.0000  0.0000  0.0000
Re  0.2500  0.2500  0.2500
Se  0.5000  0.5000  0.5000
Cl  0.7500  0.7500  0.7500

**Energy relative to the elements, uncorrected**: 1.160 eV per atom
**SG**: F-43m (216)
**N(E_F)**: 4.408 states/eV/cell

---

No. 5
VASP calculation (PBE) on a relaxed structure of CaAc2UAs4.

a = 7.5219 Å, b = 4.3721 Å, c = 7.5326 Å
α = 90.00°, β = 109.27°, γ = 90.00°
Fractional coordinates of all 8 atoms:
Ca  0.0000  0.0000  0.0000
Ac  0.5000  0.0000  0.5000
Ac  0.5000  0.5000  0.0000
U  0.0000  0.5000  0.5000
As  0.2234  0.0000  0.7326
As  0.2268  0.5000  0.2572
As  0.7732  0.5000  0.7428
As  0.7766  0.0000  0.2674

**SG**: P2/m (10)
**Formation energy**: -1175 meV per atom
**N(E_F)**: 6.413 states/eV/cell

---

No. 6
VASP calculation (PBE) on a relaxed structure of TiFe3H4.

a = 4.6590 Å, b = 4.6590 Å, c = 4.6590 Å
α = 131.69°, β = 131.69°, γ = 70.73°
Fractional coordinates of all 8 atoms:
Ti  0.0000  0.0000  0.0000
Fe  0.2500  0.7500  0.5000
Fe  0.5000  0.5000  0.0000
Fe  0.7500  0.2500  0.5000
H  0.0000  0.5000  0.5000
H  0.2652  0.2652  0.0000
H  0.5000  0.0000  0.5000
H  0.7348  0.7348  0.0000

**SG**: I4/mmm (139)
**N(E_F)**: 4.917 states/eV/cell

---

No. 7
VASP calculation (PBE) on a relaxed structure of Ba7Sn2Au2.

a = 7.9253 Å, b = 7.9253 Å, c = 8.1980 Å
α = 90.00°, β = 90.00°, γ = 108.72°
Fractional coordinates of all 11 atoms:
Ba  0.0000  0.0000  0.0000
Ba  0.0000  0.5000  0.2660
Ba  0.0000  0.5000  0.7340
Ba  0.5000  0.0000  0.2660
Ba  0.5000  0.0000  0.7340
Ba  0.5000  0.5000  0.2569
Ba  0.5000  0.5000  0.7431
Sn  0.1611  0.1611  0.5000
Sn  0.8389  0.8389  0.5000
Au  0.2942  0.7058  0.0000
Au  0.7058  0.2942  0.0000

**SG**: Cmmm (65)
**Formation energy**: -442 meV per atom
**N(E_F)**: 10.221 states/eV/cell

---

No. 8
VASP calculation (PBE) on a relaxed structure of Cs2NaAgBr6.

a = 7.9334 Å, b = 7.9334 Å, c = 7.9334 Å
α = 119.90°, β = 119.90°, γ = 90.17°
Fractional coordinates of all 10 atoms:
Cs  0.2500  0.7500  0.5000
Cs  0.7500  0.2500  0.5000
Na  0.0000  0.0000  0.0000
Ag  0.5000  0.5000  0.0000
Br  0.2596  0.2596  0.5193
Br  0.2596  0.7404  0.0000
Br  0.2615  0.2615  0.0000
Br  0.7385  0.7385  0.0000
Br  0.7404  0.2596  0.0000
Br  0.7404  0.7404  0.4807

**Energy relative to the elements, uncorrected**: -1.047 eV per atom
**SG**: I4/mmm (139)
**N(E_F)**: 11.267 states/eV/cell

---

No. 9
VASP calculation (PBE) on a relaxed structure of LaCdO2F.

a = 4.6396 Å, b = 4.6396 Å, c = 4.5918 Å
α = 90.00°, β = 90.00°, γ = 90.00°
Fractional coordinates of all 5 atoms:
La  0.0000  0.0000  0.0000
Cd  0.5000  0.5000  0.5000
O  0.0000  0.5000  0.0000
O  0.5000  0.0000  0.0000
F  0.0000  0.0000  0.5000

**Energy relative to the elements, uncorrected**: -1.940 eV per atom
**SG**: P4/mmm (123)
**N(E_F)**: 1.473 states/eV/cell

---

No. 10
VASP calculation (PBE) on a relaxed structure of Y3Ag5S12.

a = 13.2899 Å, b = 13.2899 Å, c = 13.2899 Å
α = 109.47°, β = 109.47°, γ = 109.47°
Fractional coordinates of all 80 atoms:
Y  0.1250  0.2500  0.3750
Y  0.1250  0.3750  0.7500
Y  0.2500  0.3750  0.1250
Y  0.2500  0.8750  0.6250
Y  0.3750  0.1250  0.2500
Y  0.3750  0.7500  0.1250
Y  0.6250  0.2500  0.8750
Y  0.6250  0.8750  0.7500
Y  0.7500  0.1250  0.3750
Y  0.7500  0.6250  0.8750
Y  0.8750  0.6250  0.2500
Y  0.8750  0.7500  0.6250
Ag  0.0000  0.0000  0.0000
Ag  0.0000  0.0000  0.5000
Ag  0.0000  0.5000  0.0000
Ag  0.0000  0.5000  0.5000
Ag  0.1250  0.7500  0.8750
Ag  0.1250  0.8750  0.2500
Ag  0.2500  0.1250  0.8750
Ag  0.2500  0.6250  0.3750
Ag  0.3750  0.2500  0.6250
Ag  0.3750  0.6250  0.7500
Ag  0.5000  0.0000  0.0000
Ag  0.5000  0.0000  0.5000
Ag  0.5000  0.5000  0.0000
Ag  0.5000  0.5000  0.5000
Ag  0.6250  0.3750  0.2500
Ag  0.6250  0.7500  0.3750
Ag  0.7500  0.3750  0.6250
Ag  0.7500  0.8750  0.1250
Ag  0.8750  0.1250  0.7500
Ag  0.8750  0.2500  0.1250
S  0.0465  0.2143  0.1347
S  0.0465  0.3322  0.9118
S  0.0796  0.7143  0.6678
S  0.0796  0.8653  0.4118
S  0.0882  0.6347  0.4204
S  0.0882  0.9535  0.6678
S  0.1347  0.0465  0.2143
S  0.1347  0.5882  0.9204
S  0.1678  0.2143  0.5796
S  0.1678  0.4535  0.5882
S  0.2143  0.1347  0.0465
S  0.2143  0.5796  0.1678
S  0.2857  0.3322  0.9204
S  0.2857  0.4535  0.3653
S  0.3322  0.9118  0.0465
S  0.3322  0.9204  0.2857
S  0.3653  0.2857  0.4535
S  0.3653  0.5796  0.9118
S  0.4118  0.0796  0.8653
S  0.4118  0.8322  0.5465
S  0.4204  0.0882  0.6347
S  0.4204  0.8322  0.7857
S  0.4535  0.3653  0.2857
S  0.4535  0.5882  0.1678
S  0.5465  0.4118  0.8322
S  0.5465  0.6347  0.7143
S  0.5796  0.1678  0.2143
S  0.5796  0.9118  0.3653
S  0.5882  0.1678  0.4535
S  0.5882  0.9204  0.1347
S  0.6347  0.4204  0.0882
S  0.6347  0.7143  0.5465
S  0.6678  0.0796  0.7143
S  0.6678  0.0882  0.9535
S  0.7143  0.5465  0.6347
S  0.7143  0.6678  0.0796
S  0.7857  0.4204  0.8322
S  0.7857  0.8653  0.9535
S  0.8322  0.5465  0.4118
S  0.8322  0.7857  0.4204
S  0.8653  0.4118  0.0796
S  0.8653  0.9535  0.7857
S  0.9118  0.0465  0.3322
S  0.9118  0.3653  0.5796
S  0.9204  0.1347  0.5882
S  0.9204  0.2857  0.3322
S  0.9535  0.6678  0.0882
S  0.9535  0.7857  0.8653

**Energy relative to the elements, uncorrected**: -0.520 eV per atom
**SG**: Ia-3d (230)
**N(E_F)**: 63.690 states/eV/cell

---

No. 11
VASP calculation (PBE) on a relaxed structure of Dy2Y4Er.

a = 8.5494 Å, b = 8.5494 Å, c = 8.7064 Å
α = 119.08°, β = 119.08°, γ = 23.98°
Fractional coordinates of all 7 atoms:
Dy  0.0700  0.0700  0.4302
Dy  0.9300  0.9300  0.5698
Y  0.2965  0.2965  0.7069
Y  0.3593  0.3593  0.1644
Y  0.6407  0.6407  0.8356
Y  0.7035  0.7035  0.2931
Er  0.0000  0.0000  0.0000

**SG**: C2/m (12)
**Formation energy**: 35 meV per atom
**N(E_F)**: 12.251 states/eV/cell

---

No. 12
VASP calculation (PBE) on a relaxed structure of Na3MgMn.

a = 5.7430 Å, b = 5.7430 Å, c = 5.7430 Å
α = 90.00°, β = 90.00°, γ = 90.00°
Fractional coordinates of all 5 atoms:
Na  0.0000  0.0000  0.5000
Na  0.0000  0.5000  0.0000
Na  0.5000  0.0000  0.0000
Mg  0.5000  0.5000  0.5000
Mn  0.0000  0.0000  0.0000

**SG**: Pm-3m (221)
**Formation energy**: 783 meV per atom
**N(E_F)**: 5.133 states/eV/cell

---

No. 13
VASP calculation (PBE) on a relaxed structure of Be2CrRh.

a = 2.5691 Å, b = 3.5949 Å, c = 4.8110 Å
α = 90.00°, β = 102.55°, γ = 90.00°
Fractional coordinates of all 4 atoms:
Be  0.2187  0.0000  0.2467
Be  0.7813  0.0000  0.7533
Cr  0.5000  0.5000  0.0000
Rh  0.0000  0.5000  0.5000

**SG**: P2/m (10)
**Formation energy**: -41 meV per atom
**N(E_F)**: 2.215 states/eV/cell

---

No. 14
VASP calculation (PBE) on a relaxed structure of AcMg2Ag.

a = 3.5663 Å, b = 3.5663 Å, c = 8.2678 Å
α = 90.00°, β = 90.00°, γ = 90.00°
Fractional coordinates of all 4 atoms:
Ac  0.0000  0.0000  0.0000
Mg  0.5000  0.5000  0.3155
Mg  0.5000  0.5000  0.6845
Ag  0.0000  0.0000  0.5000

**SG**: P4/mmm (123)
**Formation energy**: -86 meV per atom
**N(E_F)**: 3.889 states/eV/cell

---

No. 15
VASP calculation (PBE) on a relaxed structure of Ca5Ga2Pt.

a = 9.4533 Å, b = 9.4533 Å, c = 9.4533 Å
α = 133.07°, β = 133.07°, γ = 68.55°
Fractional coordinates of all 16 atoms:
Ca  0.0000  0.0000  0.0000
Ca  0.0254  0.5254  0.8536
Ca  0.1719  0.0254  0.5000
Ca  0.3281  0.8281  0.8536
Ca  0.4746  0.3281  0.5000
Ca  0.5000  0.5000  0.0000
Ca  0.5254  0.6719  0.5000
Ca  0.6719  0.1719  0.1464
Ca  0.8281  0.9746  0.5000
Ca  0.9746  0.4746  0.1464
Ga  0.1174  0.3826  0.5000
Ga  0.3826  0.8826  0.2651
Ga  0.6174  0.1174  0.7349
Ga  0.8826  0.6174  0.5000
Pt  0.2500  0.2500  0.0000
Pt  0.7500  0.7500  0.0000

**SG**: I4/mcm (140)
**Formation energy**: -495 meV per atom
**N(E_F)**: 10.225 states/eV/cell

---

No. 16
VASP calculation (PBE) on a relaxed structure of Hf2ZrH3.

a = 5.5843 Å, b = 5.5843 Å, c = 5.4712 Å
α = 90.00°, β = 90.00°, γ = 63.71°
Fractional coordinates of all 12 atoms:
Hf  0.0383  0.3177  0.0000
Hf  0.3177  0.0383  0.5000
Hf  0.6823  0.9617  0.0000
Hf  0.9617  0.6823  0.5000
Zr  0.3420  0.6580  0.9335
Zr  0.6580  0.3420  0.4335
H  0.0222  0.6639  0.1325
H  0.3234  0.6766  0.5534
H  0.3361  0.9778  0.1325
H  0.6639  0.0222  0.6325
H  0.6766  0.3234  0.0534
H  0.9778  0.3361  0.6325

**SG**: Cmc2_1 (36)
**N(E_F)**: 9.136 states/eV/cell

---

No. 17
VASP calculation (PBE) on a relaxed structure of ScTlSb2.

a = 7.3397 Å, b = 7.3397 Å, c = 7.3397 Å
α = 147.12°, β = 147.05°, γ = 47.24°
Fractional coordinates of all 4 atoms:
Sc  0.0000  0.0000  0.0000
Tl  0.2658  0.7658  0.5000
Sb  0.4653  0.4653  0.0000
Sb  0.6580  0.1580  0.5000

**Energy relative to the elements, uncorrected**: -0.277 eV per atom
**SG**: Imm2 (44)
**N(E_F)**: 1.861 states/eV/cell

---

No. 18
VASP calculation (PBE) on a relaxed structure of LaTb2Pm2Nd2.

a = 6.2151 Å, b = 6.2151 Å, c = 12.1159 Å
α = 108.72°, β = 108.72°, γ = 33.50°
Fractional coordinates of all 7 atoms:
La  0.0000  0.0000  0.0000
Tb  0.2231  0.2231  0.8613
Tb  0.7769  0.7769  0.1387
Pm  0.4463  0.4463  0.7283
Pm  0.5537  0.5537  0.2717
Nd  0.3330  0.3330  0.4183
Nd  0.6670  0.6670  0.5817

**SG**: C2/m (12)
**Formation energy**: 85 meV per atom
**N(E_F)**: 12.298 states/eV/cell

---

No. 19
VASP calculation (PBE) on a relaxed structure of YHg2Pb2.

a = 8.5318 Å, b = 8.5318 Å, c = 3.8688 Å
α = 90.00°, β = 90.00°, γ = 90.00°
Fractional coordinates of all 10 atoms:
Y  0.0000  0.0000  0.0000
Y  0.5000  0.5000  0.0000
Hg  0.1639  0.3361  0.5000
Hg  0.3361  0.8361  0.5000
Hg  0.6639  0.1639  0.5000
Hg  0.8361  0.6639  0.5000
Pb  0.1381  0.6381  0.0000
Pb  0.3619  0.1381  0.0000
Pb  0.6381  0.8619  0.0000
Pb  0.8619  0.3619  0.0000

**SG**: P4/mbm (127)
**Formation energy**: -43 meV per atom
**N(E_F)**: 5.361 states/eV/cell

---

No. 20
VASP calculation (PBE) on a relaxed structure of LaPm5P6.

a = 7.1988 Å, b = 7.1988 Å, c = 7.1987 Å
α = 99.60°, β = 99.60°, γ = 119.99°
Fractional coordinates of all 12 atoms:
La  0.0000  0.0000  0.0000
Pm  0.1663  0.8337  0.5000
Pm  0.3332  0.6668  0.0000
Pm  0.5000  0.5000  0.5000
Pm  0.6668  0.3332  0.0000
Pm  0.8337  0.1663  0.5000
P  0.0841  0.4208  0.2522
P  0.2528  0.2528  0.7482
P  0.4208  0.0841  0.2522
P  0.5792  0.9159  0.7478
P  0.7472  0.7472  0.2518
P  0.9159  0.5792  0.7478

**SG**: C2/m (12)
**Formation energy**: -1563 meV per atom
**N(E_F)**: 0.796 states/eV/cell

---

E_tot / Ha/atom: -0.1077 -0.1873 -0.1040 -0.2351 -0.2274 -0.2200 -0.1099 -0.0970 -0.2009 -0.1719 -0.2067 -0.0794 -0.2259 -0.0964 -0.1197 -0.2461 -0.1658 -0.1713 -0.1080 -0.2447